Entry from the Alexandria database: a relaxed RbNi crystal (GGA-PBE).

Calculated values
As for the density of states at the Fermi level: 4.76 states/eV/cell. As for the energy: -2.2427 eV/atom. As for the formation energy: 1.132 eV per atom. The total magnetization comes out at 0.27 Bohr magnetons per cell. The space group is P4/mmm.

a b c (Å): 3.309 3.309 4.988
angles (deg): 90.00 90.00 90.00
Site moments in Bohr magnetons follow the coordinates.
Atoms (fractional coordinates):
Rb (0.000, 0.000, 0.000)  -0.01
Ni (0.500, 0.500, 0.500)  0.32


Entry from the Alexandria database: a relaxed RbNi crystal (GGA-PBE).

Calculated values
As for the density of states at the Fermi level: 7.36 states/eV/cell. As for the energy: -2.6203 eV/atom. As for the formation energy: 0.754 eV per atom. The total magnetization comes out at 8.07 Bohr magnetons per cell. The space group is I-43m.

a b c (Å): 9.849 9.849 9.849
angles (deg): 90.00 90.00 90.00
Site moments in Bohr magnetons follow the coordinates.
Atoms (fractional coordinates):
Rb (0.286, 0.286, 0.286)  0.01
Rb (0.286, 0.714, 0.714)  0.01
Rb (0.714, 0.286, 0.714)  0.01
Rb (0.714, 0.714, 0.286)  0.01
Rb (0.786, 0.786, 0.786)  0.01
Rb (0.786, 0.214, 0.214)  0.01
Rb (0.214, 0.786, 0.214)  0.01
Rb (0.214, 0.214, 0.786)  0.01
Ni (0.083, 0.083, 0.083)  0.85
Ni (0.083, 0.917, 0.917)  0.85
Ni (0.917, 0.083, 0.917)  0.85
Ni (0.917, 0.917, 0.083)  0.85
Ni (0.583, 0.583, 0.583)  0.85
Ni (0.583, 0.417, 0.417)  0.85
Ni (0.417, 0.583, 0.417)  0.85
Ni (0.417, 0.417, 0.583)  0.85


Entry from the Alexandria database: a relaxed RbNi crystal (GGA-PBE).

Calculated values
As for the density of states at the Fermi level: 22.39 states/eV/cell. As for the energy: -2.3928 eV/atom. As for the formation energy: 0.982 eV per atom. The total magnetization comes out at 4.01 Bohr magnetons per cell. The space group is P4_2/mnm.

a b c (Å): 7.043 7.043 6.636
angles (deg): 90.00 90.00 90.00
Site moments in Bohr magnetons follow the coordinates.
Atoms (fractional coordinates):
Rb (0.187, 0.187, 0.000)  0.01
Rb (0.687, 0.313, 0.500)  0.01
Rb (0.313, 0.687, 0.500)  0.01
Rb (0.813, 0.813, 0.000)  0.01
Ni (0.389, 0.611, 0.000)  0.81
Ni (0.889, 0.889, 0.500)  0.81
Ni (0.111, 0.111, 0.500)  0.81
Ni (0.611, 0.389, 0.000)  0.81


Entry from the Alexandria database: a relaxed RbNi crystal (GGA-PBE).

Calculated values
As for the density of states at the Fermi level: 16.15 states/eV/cell. As for the energy: -2.7592 eV/atom. As for the formation energy: 0.615 eV per atom. The total magnetization comes out at 2.54 Bohr magnetons per cell. The space group is Pmn2_1.

a b c (Å): 14.361 4.170 6.353
angles (deg): 90.00 90.00 90.00
Site moments in Bohr magnetons follow the coordinates.
Atoms (fractional coordinates):
Rb (0.766, 0.246, 0.090)  -0.01
Rb (0.734, 0.754, 0.590)  -0.01
Rb (0.234, 0.246, 0.090)  -0.01
Rb (0.266, 0.754, 0.590)  -0.01
Rb (0.000, 0.744, 0.078)  -0.01
Rb (0.500, 0.256, 0.578)  -0.01
Ni (0.921, 0.259, 0.582)  0.48
Ni (0.579, 0.741, 0.082)  0.48
Ni (0.079, 0.259, 0.582)  0.48
Ni (0.421, 0.741, 0.082)  0.48
Ni (0.000, 0.759, 0.580)  0.53
Ni (0.500, 0.241, 0.080)  0.53


Entry from the Alexandria database: a relaxed RbNi crystal (GGA-PBE).

Calculated values
As for the density of states at the Fermi level: 39.32 states/eV/cell. As for the energy: -2.0034 eV/atom. As for the formation energy: 1.371 eV per atom. The total magnetization comes out at 6.00 Bohr magnetons per cell. The space group is Pm-3n.

a b c (Å): 9.769 9.769 9.769
angles (deg): 90.00 90.00 90.00
Site moments in Bohr magnetons follow the coordinates.
Atoms (fractional coordinates):
Rb (0.250, 0.500, 0.000)  0.00
Rb (0.750, 0.500, 0.000)  0.00
Rb (0.500, 0.000, 0.250)  0.00
Rb (0.500, 0.000, 0.750)  0.00
Rb (0.000, 0.250, 0.500)  0.00
Rb (0.000, 0.750, 0.500)  0.00
Ni (0.250, 0.000, 0.500)  0.98
Ni (0.750, 0.000, 0.500)  0.98
Ni (0.000, 0.500, 0.250)  0.98
Ni (0.000, 0.500, 0.750)  0.98
Ni (0.500, 0.250, 0.000)  0.98
Ni (0.500, 0.750, 0.000)  0.98


Entry from the Alexandria database: a relaxed RbNi crystal (GGA-PBE).

Calculated values
As for the density of states at the Fermi level: 16.14 states/eV/cell. As for the energy: -2.8482 eV/atom. As for the formation energy: 0.526 eV per atom. The total magnetization comes out at 4.32 Bohr magnetons per cell. The space group is P4/m.

a b c (Å): 11.978 11.978 4.338
angles (deg): 90.00 90.00 90.00
Site moments in Bohr magnetons follow the coordinates.
Atoms (fractional coordinates):
Rb (0.700, 0.346, 0.500)  0.00
Rb (0.300, 0.654, 0.500)  0.00
Rb (0.654, 0.700, 0.500)  0.00
Rb (0.346, 0.300, 0.500)  0.00
Rb (0.986, 0.751, 0.000)  -0.01
Rb (0.014, 0.249, 0.000)  -0.01
Rb (0.249, 0.986, 0.000)  -0.01
Rb (0.751, 0.014, 0.000)  -0.01
Ni (0.916, 0.543, 0.500)  0.63
Ni (0.084, 0.457, 0.500)  0.63
Ni (0.457, 0.916, 0.500)  0.63
Ni (0.543, 0.084, 0.500)  0.63
Ni (0.903, 0.493, 0.000)  0.60
Ni (0.097, 0.507, 0.000)  0.60
Ni (0.507, 0.903, 0.000)  0.60
Ni (0.493, 0.097, 0.000)  0.60


Entry from the Alexandria database: a relaxed RbNi crystal (GGA-PBE).

Calculated values
As for the density of states at the Fermi level: 18.20 states/eV/cell. As for the energy: -2.7518 eV/atom. As for the formation energy: 0.623 eV per atom. The total magnetization comes out at 2.99 Bohr magnetons per cell. The space group is I4/mmm.

a b c (Å): 12.426 12.426 4.191
angles (deg): 90.00 90.00 90.00
Site moments in Bohr magnetons follow the coordinates.
Atoms (fractional coordinates):
Rb (0.752, 0.500, 0.000)  -0.01
Rb (0.248, 0.500, 0.000)  -0.01
Rb (0.500, 0.248, 0.000)  -0.01
Rb (0.500, 0.752, 0.000)  -0.01
Rb (0.252, 0.000, 0.500)  -0.01
Rb (0.748, 0.000, 0.500)  -0.01
Rb (0.000, 0.748, 0.500)  -0.01
Rb (0.000, 0.252, 0.500)  -0.01
Ni (0.229, 0.229, 0.000)  0.49
Ni (0.229, 0.771, 0.000)  0.49
Ni (0.771, 0.229, 0.000)  0.49
Ni (0.771, 0.771, 0.000)  0.49
Ni (0.729, 0.729, 0.500)  0.49
Ni (0.729, 0.271, 0.500)  0.49
Ni (0.271, 0.729, 0.500)  0.49
Ni (0.271, 0.271, 0.500)  0.49


Entry from the Alexandria database: a relaxed RbNi crystal (GGA-PBE).

Calculated values
As for the density of states at the Fermi level: 43.46 states/eV/cell. As for the energy: -2.1059 eV/atom. As for the formation energy: 1.269 eV per atom. The total magnetization comes out at 4.00 Bohr magnetons per cell. The space group is Fm-3m.

a b c (Å): 7.139 7.139 7.139
angles (deg): 90.00 90.00 90.00
Site moments in Bohr magnetons follow the coordinates.
Atoms (fractional coordinates):
Rb (0.500, 0.500, 0.500)  -0.01
Rb (0.500, 0.000, 0.000)  -0.01
Rb (0.000, 0.500, 0.000)  -0.01
Rb (0.000, 0.000, 0.500)  -0.01
Ni (0.000, 0.000, 0.000)  1.00
Ni (0.000, 0.500, 0.500)  1.00
Ni (0.500, 0.000, 0.500)  1.00
Ni (0.500, 0.500, 0.000)  1.00


Entry from the Alexandria database: a relaxed RbReNi2 crystal (GGA-PBE).

Calculated values
As for the density of states at the Fermi level: 6.80 states/eV/cell. As for the energy: -5.0097 eV/atom. As for the formation energy: 1.235 eV per atom. The energy above the lowest structure with this stoichiometry comes out at 0.000 eV per atom. The total magnetization comes out at 0.00 Bohr magnetons per cell. The space group is I4_1/amd.

a b c (Å): 5.205 5.205 8.427
angles (deg): 72.01 72.01 90.00
Atoms (fractional coordinates):
Re (0.000, 0.000, 0.000)
Re (0.750, 0.250, 0.500)
Rb (0.500, 0.500, 0.000)
Rb (0.250, 0.750, 0.500)
Ni (0.875, 0.125, 0.250)
Ni (0.875, 0.625, 0.250)
Ni (0.375, 0.125, 0.750)
Ni (0.875, 0.125, 0.750)


Entry from the Alexandria database: a relaxed RbReNi3 crystal (GGA-PBE).

Calculated values
As for the density of states at the Fermi level: 7.28 states/eV/cell. As for the energy: -5.0094 eV/atom. As for the formation energy: 1.143 eV per atom. The energy above the lowest structure with this stoichiometry comes out at 0.000 eV per atom. The total magnetization comes out at 0.00 Bohr magnetons per cell. The space group is Pm-3m.

a b c (Å): 4.700 4.700 4.700
angles (deg): 90.00 90.00 90.00
Atoms (fractional coordinates):
Re (0.000, 0.000, 0.000)
Rb (0.500, 0.500, 0.500)
Ni (0.000, 0.500, 0.000)
Ni (0.000, 0.000, 0.500)
Ni (0.500, 0.000, 0.000)


Entry from the Alexandria database: a relaxed RbRe2Ni crystal (GGA-PBE).

Calculated values
As for the density of states at the Fermi level: 8.40 states/eV/cell. As for the energy: -5.6400 eV/atom. As for the formation energy: 2.271 eV per atom. The energy above the lowest structure with this stoichiometry comes out at 0.530 eV per atom. The total magnetization comes out at 0.00 Bohr magnetons per cell. The space group is Fm-3m.

a b c (Å): 4.512 4.512 4.512
angles (deg): 60.00 60.00 60.00
Atoms (fractional coordinates):
Re (0.250, 0.250, 0.250)
Re (0.750, 0.750, 0.750)
Rb (0.500, 0.500, 0.500)
Ni (0.000, 0.000, 0.000)


Entry from the Alexandria database: a relaxed Rb2ReNi crystal (GGA-PBE).

Calculated values
As for the density of states at the Fermi level: 6.50 states/eV/cell. As for the energy: -3.6853 eV/atom. As for the formation energy: 1.356 eV per atom. The energy above the lowest structure with this stoichiometry comes out at 0.000 eV per atom. The total magnetization comes out at 6.25 Bohr magnetons per cell. The space group is I-42d.

a b c (Å): 12.897 12.897 9.395
angles (deg): 46.66 46.66 90.00
Site moments in Bohr magnetons follow the coordinates.
Atoms (fractional coordinates):
Re (0.000, 0.000, 0.000)  2.20
Re (0.750, 0.250, 0.500)  2.20
Rb (0.441, 0.125, 0.250)  0.00
Rb (0.309, 0.625, 0.250)  0.00
Rb (0.375, 0.559, 0.750)  0.00
Rb (0.875, 0.691, 0.750)  0.00
Ni (0.500, 0.500, 0.000)  0.31
Ni (0.250, 0.750, 0.500)  0.30